Here is a relaxed CsFe3S crystal from the Alexandria database. Energies are from PBE-GGA.

Geometry as POSCAR:
```
CsFe3S
1.0
4.823 0.000 0.000
0.000 4.823 0.000
0.000 0.000 4.823
Cs Fe S
1 3 1
direct
0.000 0.000 0.000
0.000 0.000 0.500
0.000 0.500 0.000
0.500 0.000 0.000
0.500 0.500 0.500
```

Values from the calculation:
**Space-group type**: No. 221
**Formation energy from raw total energies**: 2531.6 meV/atom
**Energy**: -3.54 eV per atom
**Excess energy over the best structure of this formula in the dataset**: 1742 meV per atom